No. 1
A plane-wave DFT calculation with GGA-PBE was carried out for a relaxed structure of Nd5TlCu2.

It has space group I4/mcm (No. 140), with a = 8.2383 Å, b = 8.2383 Å, c = 13.2247 Å, α = 90.00°, β = 90.00° and γ = 90.00°. Symmetry generates all atoms from Nd at (0.0000, 0.0000, 0.0000), Nd at (0.1536, 0.3464, 0.1424), Tl at (0.0000, 0.0000, 0.2500) and Cu at (0.1300, 0.3700, 0.5000).

For the total magnetic moment, the calculation gives 0.000 μB per formula unit. Its energy of formation from the pure elements is -0.17 eV/atom.



No. 2
A plane-wave DFT calculation with GGA-PBE was carried out for a relaxed structure of Nd12TlCu6.

It has space group Im-3 (No. 204), with a = 10.2242 Å, b = 10.2242 Å, c = 10.2242 Å, α = 90.00°, β = 90.00° and γ = 90.00°. Symmetry generates all atoms from Nd at (0.0000, 0.2993, 0.1882), Tl at (0.0000, 0.0000, 0.0000) and Cu at (0.0000, 0.1209, 0.5000).

For the total magnetic moment, the calculation gives 0.000 μB per formula unit. Its energy of formation from the pure elements is -0.12 eV/atom.